CuAsRhW2 (GGA-PBE, relaxed); M_tot = 0.00 μB per formula unit; calculated total energy = -6.98 eV per atom; SG = No. 123
1.0
4.604 0.000 0.000
0.000 4.604 0.000
0.000 0.000 4.489
Cu As Rh W
1 1 1 2
Direct
0.000 0.000 0.000
0.500 0.500 0.500
0.500 0.500 0.000
0.000 0.500 0.500
0.500 0.000 0.500

Zr2CuAsRh (GGA-PBE, relaxed); M_tot = 0.00 μB per formula unit; calculated total energy = -6.44 eV per atom; SG = No. 123
1.0
5.011 0.000 0.000
0.000 5.011 0.000
0.000 0.000 4.235
Zr Cu As Rh
2 1 1 1
Direct
0.000 0.500 0.000
0.500 0.000 0.000
0.000 0.000 0.500
0.000 0.000 0.000
0.500 0.500 0.500

CuAs2Ru2 (GGA-PBE, relaxed); M_tot = 0.00 μB per formula unit; energy above the most stable polymorph in this dataset = 13 meV/atom; SG = No. 139
1.0
4.210 0.000 0.000
0.000 4.210 0.000
0.000 0.000 9.513
Cu As Ru
2 4 4
Direct
0.000 0.000 0.000
0.500 0.500 0.500
0.000 0.000 0.373
0.000 0.000 0.627
0.500 0.500 0.127
0.500 0.500 0.873
0.000 0.500 0.250
0.000 0.500 0.750
0.500 0.000 0.250
0.500 0.000 0.750

CuAsRu (GGA-PBE, relaxed); M_tot = 0.00 μB per formula unit; energy above the most stable polymorph in this dataset = 505 meV/atom; SG = No. 42
1.0
2.996 0.000 0.000
0.000 4.758 0.000
0.000 0.000 12.657
Cu As Ru
4 4 4
Direct
0.000 0.000 0.000
0.000 0.500 0.500
0.500 0.000 0.500
0.500 0.500 0.000
0.000 0.000 0.323
0.000 0.500 0.823
0.500 0.000 0.823
0.500 0.500 0.323
0.000 0.000 0.668
0.000 0.500 0.168
0.500 0.000 0.168
0.500 0.500 0.668

CuAs2Ru (GGA-PBE, relaxed); M_tot = 0.00 μB per formula unit; energy above the most stable polymorph in this dataset = 431 meV/atom; SG = No. 216
1.0
6.253 0.000 0.000
0.000 6.253 0.000
0.000 0.000 6.253
Cu As Ru
4 8 4
Direct
0.000 0.000 0.000
0.000 0.500 0.500
0.500 0.000 0.500
0.500 0.500 0.000
0.000 0.000 0.500
0.000 0.500 0.000
0.250 0.250 0.750
0.250 0.750 0.250
0.500 0.000 0.000
0.500 0.500 0.500
0.750 0.250 0.250
0.750 0.750 0.750
0.250 0.250 0.250
0.250 0.750 0.750
0.750 0.250 0.750
0.750 0.750 0.250

CuAs2Ru (GGA-PBE, relaxed); M_tot = 0.00 μB per formula unit; energy above the most stable polymorph in this dataset = 66 meV/atom; SG = No. 123
1.0
3.036 0.000 0.000
0.000 3.036 0.000
0.000 0.000 6.635
Cu As Ru
1 2 1
Direct
0.000 0.000 0.000
0.500 0.500 0.263
0.500 0.500 0.737
0.000 0.000 0.500

> Look up the M_tot of the sixth one.

0.00 μB per formula unit

> Which value of M_tot does entry 3 give?

0.00 μB per formula unit

> Which formula does entry 1 have?

CuAsRhW2